No. 1
! SiMo2, relaxed, DFT PBE; values from VASP
! Total moment (μB/atom): 0.00
! Formation energy from raw total energies (eV/atom): -0.06
! Space group: Fmmm
! Energy relative to the lowest polymorph listed for this composition (meV/atom): 262
&SYSTEM
  ibrav = 0, nat = 3, ntyp = 2
/
ATOMIC_SPECIES
Si 28.09 Si.upf
Mo 95.94 Mo.upf
ATOMIC_POSITIONS angstrom
Si 0.0000 0.0000 0.0000
Mo 1.6302 2.2648 4.1149
Mo 1.6302 2.2648 7.9956
CELL_PARAMETERS angstrom
0.0000 2.2648 6.0553
1.6302 0.0000 6.0553
1.6302 2.2648 0.0000

---

No. 2
! YHoAu, relaxed, DFT PBE; values from VASP
! Total moment (μB/atom): 0.00
! Calculated formation energy (eV per atom): -0.456
! Space group: R-3m
! Energy relative to the lowest polymorph listed for this composition (meV/atom): 169
&SYSTEM
  ibrav = 0, nat = 6, ntyp = 3
/
ATOMIC_SPECIES
Y 88.91 Y.upf
Ho 164.93 Ho.upf
Au 196.97 Au.upf
ATOMIC_POSITIONS angstrom
Y 0.0000 0.0000 3.0168
Y 0.0000 0.0000 21.2582
Ho 0.0000 0.0000 9.0878
Ho 0.0000 0.0000 15.1873
Au 0.0000 0.0000 6.0940
Au 0.0000 0.0000 18.1810
CELL_PARAMETERS angstrom
2.4867 1.4357 8.0917
-2.4867 1.4357 8.0917
0.0000 -2.8714 8.0917

---

No. 3
! NdSiB, relaxed, DFT PBE; values from VASP
! Total moment (μB/atom): 0.00
! Formation energy from raw total energies (eV/atom): -0.14
! Space group: P4_2/mmc
! Energy relative to the lowest polymorph listed for this composition (meV/atom): 459
&SYSTEM
  ibrav = 0, nat = 6, ntyp = 3
/
ATOMIC_SPECIES
Nd 144.24 Nd.upf
Si 28.09 Si.upf
B 10.81 B.upf
ATOMIC_POSITIONS angstrom
Nd 0.0000 0.0000 1.9393
Nd 0.0000 0.0000 5.8180
Si 1.9152 1.9152 0.0000
Si 1.9152 1.9152 3.8787
B 0.0000 1.9152 0.0000
B 1.9152 0.0000 3.8787
CELL_PARAMETERS angstrom
3.8305 0.0000 0.0000
0.0000 3.8305 0.0000
0.0000 0.0000 7.7573

---

No. 4
! RhPb2Cl, relaxed, DFT PBE; values from VASP
! Total moment (μB/atom): 0.00
! Formation energy from raw total energies (eV/atom): -0.21
! Space group: P4mm
! Energy relative to the lowest polymorph listed for this composition (meV/atom): 39
&SYSTEM
  ibrav = 0, nat = 4, ntyp = 3
/
ATOMIC_SPECIES
Rh 102.91 Rh.upf
Pb 207.20 Pb.upf
Cl 35.45 Cl.upf
ATOMIC_POSITIONS angstrom
Rh 0.0000 0.0000 0.0000
Pb 0.0000 0.0000 4.7144
Pb 1.9558 1.9558 0.2168
Cl 1.9558 1.9558 3.6306
CELL_PARAMETERS angstrom
3.9117 0.0000 0.0000
0.0000 3.9117 0.0000
0.0000 0.0000 7.3566

---

No. 5
! YScSe3, relaxed, DFT PBE; values from VASP
! Total moment (μB/atom): 0.00
! Formation energy from raw total energies (eV/atom): -1.68
! Space group: C2/m
&SYSTEM
  ibrav = 0, nat = 10, ntyp = 3
/
ATOMIC_SPECIES
Y 88.91 Y.upf
Sc 44.96 Sc.upf
Se 78.96 Se.upf
ATOMIC_POSITIONS angstrom
Y 2.6112 0.0000 2.1109
Y 11.1782 0.0000 6.6486
Sc 0.0388 0.0000 6.9418
Sc 13.7506 0.0000 1.8176
Se 2.0175 0.0000 5.3319
Se 5.1643 0.0000 0.2416
Se 5.8843 0.0000 6.0886
Se 7.9051 0.0000 2.6708
Se 8.6251 0.0000 8.5179
Se 11.7719 0.0000 3.4276
CELL_PARAMETERS angstrom
7.5190 -1.9098 0.0000
7.5190 1.9098 0.0000
-1.2486 0.0000 8.7594

---

No. 6
! LaAlTeN2, relaxed, DFT PBE; values from VASP
! Total moment (μB/atom): 0.25
! Formation energy from raw total energies (eV/atom): 0.11
! Space group: P4/mmm
! Energy relative to the lowest polymorph listed for this composition (meV/atom): 0
&SYSTEM
  ibrav = 0, nat = 5, ntyp = 4
/
ATOMIC_SPECIES
La 138.91 La.upf
Al 26.98 Al.upf
Te 127.60 Te.upf
N 14.01 N.upf
ATOMIC_POSITIONS angstrom
La 0.0000 0.0000 0.0000
Al 2.0856 2.0856 2.6381
Te 2.0856 2.0856 0.0000
N 0.0000 2.0856 2.6381
N 2.0856 0.0000 2.6381
CELL_PARAMETERS angstrom
4.1712 0.0000 0.0000
0.0000 4.1712 0.0000
0.0000 0.0000 5.2761

---

No. 7
! SiHg2Sb, relaxed, DFT PBE; values from VASP
! Total moment (μB/atom): 0.00
! Formation energy from raw total energies (eV/atom): 0.45
! Space group: Pmmm
! Energy relative to the lowest polymorph listed for this composition (meV/atom): 280
&SYSTEM
  ibrav = 0, nat = 4, ntyp = 3
/
ATOMIC_SPECIES
Si 28.09 Si.upf
Hg 200.59 Hg.upf
Sb 121.76 Sb.upf
ATOMIC_POSITIONS angstrom
Si 0.0000 0.0000 0.0000
Hg 1.7080 2.0974 1.5080
Hg 1.7080 2.0974 5.0465
Sb 0.0000 0.0000 3.2772
CELL_PARAMETERS angstrom
3.4159 0.0000 0.0000
0.0000 4.1948 0.0000
0.0000 0.0000 6.5544

---

No. 8
! TlIrN, relaxed, DFT PBE; values from VASP
! Total moment (μB/atom): 0.00
! Formation energy from raw total energies (eV/atom): 0.62
! Space group: C2/m
&SYSTEM
  ibrav = 0, nat = 6, ntyp = 3
/
ATOMIC_SPECIES
Tl 204.38 Tl.upf
Ir 192.22 Ir.upf
N 14.01 N.upf
ATOMIC_POSITIONS angstrom
Tl 0.3196 0.0000 1.5697
Tl 7.1291 0.0000 3.0437
Ir 0.1444 0.0000 4.3172
Ir 7.3042 0.0000 0.2962
N 2.0025 0.0000 4.5939
N 5.4461 0.0000 0.0196
CELL_PARAMETERS angstrom
4.8635 -2.7219 0.0000
4.8635 2.7219 0.0000
-2.2784 0.0000 4.6135

---

No. 9
! ThSnIr, relaxed, DFT PBE; values from VASP
! Total moment (μB/atom): 0.00
! Calculated formation energy (eV per atom): -0.821
! Space group: Pmma
&SYSTEM
  ibrav = 0, nat = 18, ntyp = 3
/
ATOMIC_SPECIES
Th 232.04 Th.upf
Sn 118.71 Sn.upf
Ir 192.22 Ir.upf
ATOMIC_POSITIONS angstrom
Th 0.6348 0.0000 1.7385
Th 3.4311 0.0000 6.4594
Th 6.2274 0.0000 1.7385
Th 7.4970 0.0000 5.9011
Th 10.2933 0.0000 1.1802
Th 13.0897 0.0000 5.9011
Sn 1.7356 2.0081 4.2936
Sn 3.4311 2.0081 1.4307
Sn 5.1266 2.0081 4.2936
Sn 8.5979 2.0081 3.3460
Sn 10.2933 2.0081 6.2090
Sn 11.9888 2.0081 3.3460
Ir 1.3357 2.0081 7.0733
Ir 3.4311 0.0000 3.3349
Ir 5.5265 2.0081 7.0733
Ir 8.1979 2.0081 0.5663
Ir 10.2933 0.0000 4.3047
Ir 12.3887 2.0081 0.5663
CELL_PARAMETERS angstrom
13.7245 0.0000 0.0000
0.0000 4.0161 0.0000
0.0000 0.0000 7.6396

---

No. 10
! Rb2SbS3, relaxed, DFT PBE; values from VASP
! Total moment (μB/atom): 0.00
! Formation energy from raw total energies (eV/atom): -0.77
! Space group: Cmce
! Energy relative to the lowest polymorph listed for this composition (meV/atom): 0
&SYSTEM
  ibrav = 0, nat = 24, ntyp = 3
/
ATOMIC_SPECIES
Rb 85.47 Rb.upf
Sb 121.76 Sb.upf
S 32.06 S.upf
ATOMIC_POSITIONS angstrom
Rb 3.9609 6.2798 13.6727
Rb 3.9609 5.0200 6.9010
Rb 3.9609 1.9715 14.9961
Rb 3.9609 0.7117 5.5776
Rb 3.9609 -0.7117 10.6127
Rb 3.9609 -1.9715 1.1941
Rb 3.9609 -5.0200 9.2892
Rb 3.9609 -6.2798 2.5175
Sb 3.9609 3.5825 2.5632
Sb 3.9609 3.4090 10.6583
Sb 3.9609 -3.4090 5.5319
Sb 3.9609 -3.5825 13.6270
S 1.9804 2.8080 12.1427
S 3.9609 5.7471 10.2511
S 3.9609 4.8479 0.5398
S 3.9609 2.1436 8.6349
S 3.9609 1.2444 2.1560
S 1.9804 -2.8080 4.0476
S 5.9413 2.8080 12.1427
S 3.9609 -1.2444 14.0342
S 3.9609 -2.1436 7.5554
S 3.9609 -4.8479 15.6505
S 3.9609 -5.7471 5.9391
S 5.9413 -2.8080 4.0476
CELL_PARAMETERS angstrom
3.9609 -6.9915 0.0000
3.9609 6.9915 0.0000
0.0000 0.0000 16.1902

---

No. 11
! KMg2As, relaxed, DFT PBE; values from VASP
! Total moment (μB/atom): 0.00
! Calculated formation energy (eV per atom): 0.077
! Space group: C2/m
&SYSTEM
  ibrav = 0, nat = 4, ntyp = 3
/
ATOMIC_SPECIES
K 39.10 K.upf
Mg 24.30 Mg.upf
As 74.92 As.upf
ATOMIC_POSITIONS angstrom
K 0.0000 0.0000 0.0000
Mg 0.9343 2.9300 1.3436
Mg 0.9343 -2.9300 1.3436
As 3.2679 0.0000 0.0000
CELL_PARAMETERS angstrom
3.2679 -5.8600 0.0000
3.2679 5.8600 0.0000
-1.3992 0.0000 2.6872

---

No. 12
! Mn2RuAu, relaxed, DFT PBE; values from VASP
! Total moment (μB/atom): 0.24
! Calculated formation energy (eV per atom): 0.125
! Space group: Pmm2
&SYSTEM
  ibrav = 0, nat = 4, ntyp = 3
/
ATOMIC_SPECIES
Mn 54.94 Mn.upf
Ru 101.07 Ru.upf
Au 196.97 Au.upf
ATOMIC_POSITIONS angstrom
Mn 0.0000 0.0000 0.0000
Mn 1.4704 1.7825 1.3857
Ru 0.0000 0.0000 2.5354
Au 1.4704 1.7825 4.1952
CELL_PARAMETERS angstrom
2.9408 0.0000 0.0000
0.0000 3.5649 0.0000
0.0000 0.0000 5.6441

---

No. 13
! Sc2CrTc, relaxed, DFT PBE; values from VASP
! Total moment (μB/atom): 0.00
! Calculated formation energy (eV per atom): 0.247
! Space group: R3m
! Energy relative to the lowest polymorph listed for this composition (meV/atom): 289
&SYSTEM
  ibrav = 0, nat = 4, ntyp = 3
/
ATOMIC_SPECIES
Sc 44.96 Sc.upf
Cr 52.00 Cr.upf
Tc 98.00 Tc.upf
ATOMIC_POSITIONS angstrom
Sc 0.0000 0.0000 0.0000
Sc 0.0000 0.0000 6.0124
Cr 0.0000 0.0000 20.0906
Tc 0.0000 0.0000 12.7729
CELL_PARAMETERS angstrom
1.5352 0.8864 8.9544
-1.5352 0.8864 8.9544
0.0000 -1.7727 8.9544

---

No. 14
! Th6Pt3Se2S, relaxed, DFT PBE; values from VASP
! Total moment (μB/atom): 0.00
! Formation energy from raw total energies (eV/atom): -1.38
! Space group: C2/m
&SYSTEM
  ibrav = 0, nat = 12, ntyp = 4
/
ATOMIC_SPECIES
Th 232.04 Th.upf
Pt 195.08 Pt.upf
Se 78.96 Se.upf
S 32.06 S.upf
ATOMIC_POSITIONS angstrom
Th -0.0280 2.0340 5.4626
Th 1.1496 0.0000 1.6828
Th -0.0280 -2.0340 5.4626
Th 4.8173 2.0340 1.6997
Th 3.6397 0.0000 5.4795
Th 4.8173 -2.0340 1.6997
Pt 3.5943 4.1148 0.0000
Pt 3.5943 0.0000 0.0000
Pt 3.5943 -4.1148 0.0000
Se 2.3947 2.0720 3.5811
Se 2.3947 -2.0720 3.5811
S -1.1996 0.0000 3.5811
CELL_PARAMETERS angstrom
3.5943 -6.2300 0.0000
3.5943 6.2300 0.0000
-2.3992 0.0000 7.1623

---

No. 15
! CdRuRh2, relaxed, DFT PBE; values from VASP
! Total moment (μB/atom): 0.00
! Calculated formation energy (eV per atom): 0.083
! Space group: R-3m
&SYSTEM
  ibrav = 0, nat = 4, ntyp = 3
/
ATOMIC_SPECIES
Cd 112.41 Cd.upf
Ru 101.07 Ru.upf
Rh 102.91 Rh.upf
ATOMIC_POSITIONS angstrom
Cd 0.0000 0.0000 0.0000
Ru 0.0000 0.0000 13.5161
Rh 0.0000 0.0000 6.6080
Rh 0.0000 0.0000 20.4242
CELL_PARAMETERS angstrom
1.4039 0.8106 9.0107
-1.4039 0.8106 9.0107
0.0000 -1.6211 9.0107

---

No. 16
! KZrSbTe2, relaxed, DFT PBE; values from VASP
! Total moment (μB/atom): 0.00
! Formation energy from raw total energies (eV/atom): -0.50
! Space group: P4/mmm
! Energy relative to the lowest polymorph listed for this composition (meV/atom): 0
&SYSTEM
  ibrav = 0, nat = 5, ntyp = 4
/
ATOMIC_SPECIES
K 39.10 K.upf
Zr 91.22 Zr.upf
Sb 121.76 Sb.upf
Te 127.60 Te.upf
ATOMIC_POSITIONS angstrom
K 0.0000 0.0000 0.0000
Zr 2.8534 2.8534 2.8180
Sb 2.8534 2.8534 0.0000
Te 0.0000 2.8534 2.8180
Te 2.8534 0.0000 2.8180
CELL_PARAMETERS angstrom
5.7067 0.0000 0.0000
0.0000 5.7067 0.0000
0.0000 0.0000 5.6361

---

No. 17
! TlNiHg2, relaxed, DFT PBE; values from VASP
! Total moment (μB/atom): 0.00
! Calculated formation energy (eV per atom): 0.170
! Space group: C2/m
! Energy relative to the lowest polymorph listed for this composition (meV/atom): 29
&SYSTEM
  ibrav = 0, nat = 4, ntyp = 3
/
ATOMIC_SPECIES
Tl 204.38 Tl.upf
Ni 58.69 Ni.upf
Hg 200.59 Hg.upf
ATOMIC_POSITIONS angstrom
Tl 0.0000 0.0000 0.0000
Ni 5.8886 0.0000 2.1320
Hg 1.4437 0.0000 2.9320
Hg 10.3335 0.0000 1.3321
CELL_PARAMETERS angstrom
6.6471 -1.5374 0.0000
6.6471 1.5374 0.0000
-1.5169 0.0000 4.2641

---

No. 18
! Cs2Zn2HgH6, relaxed, DFT PBE; values from VASP
! Total moment (μB/atom): 0.00
! Total DFT energy (no corrections) (eV/atom): -2.391
! Space group: P-1
&SYSTEM
  ibrav = 0, nat = 11, ntyp = 4
/
ATOMIC_SPECIES
Cs 132.91 Cs.upf
Zn 65.41 Zn.upf
Hg 200.59 Hg.upf
H 1.01 H.upf
ATOMIC_POSITIONS angstrom
Cs -1.0051 1.1695 1.6888
Cs 2.4597 2.7693 5.1891
Zn -0.8057 0.8932 5.7574
Zn 2.2603 3.0457 1.1205
Hg 2.1273 -0.9297 3.4390
H -1.9867 -0.1963 5.5920
H -0.5148 1.9538 4.5774
H 0.8108 3.6781 0.3861
H 0.6438 0.2607 6.4918
H 1.9693 1.9850 2.3005
H 3.4412 4.1351 1.2859
CELL_PARAMETERS angstrom
6.2169 0.0000 0.0000
-2.8000 5.7982 0.0000
-1.9624 -1.8593 6.8779

---

No. 19
! Ac3BiAs4, relaxed, DFT PBE; values from VASP
! Total moment (μB/atom): 0.00
! Calculated formation energy (eV per atom): -0.949
! Space group: P-3m1
&SYSTEM
  ibrav = 0, nat = 8, ntyp = 3
/
ATOMIC_SPECIES
Ac 227.00 Ac.upf
Bi 208.98 Bi.upf
As 74.92 As.upf
ATOMIC_POSITIONS angstrom
Ac 0.0000 0.0000 0.0000
Ac 0.0000 0.0000 3.9490
Ac 0.0000 0.0000 11.2262
Bi 0.0000 0.0000 7.5876
As 0.0000 2.5704 5.8719
As 0.0000 2.5704 13.2033
As 2.2260 1.2852 1.9719
As 2.2260 1.2852 9.3033
CELL_PARAMETERS angstrom
4.4521 0.0000 0.0000
-2.2260 3.8556 0.0000
0.0000 0.0000 15.1752

---

No. 20
! Al2InSe, relaxed, DFT PBE; values from VASP
! Total moment (μB/atom): 0.00
! Formation energy from raw total energies (eV/atom): -0.06
! Space group: P4mm
! Energy relative to the lowest polymorph listed for this composition (meV/atom): 39
&SYSTEM
  ibrav = 0, nat = 4, ntyp = 3
/
ATOMIC_SPECIES
Al 26.98 Al.upf
In 114.82 In.upf
Se 78.96 Se.upf
ATOMIC_POSITIONS angstrom
Al 0.0000 0.0000 0.0000
Al 1.7748 1.7748 1.5656
In 0.0000 0.0000 3.2634
Se 1.7748 1.7748 6.1067
CELL_PARAMETERS angstrom
3.5496 0.0000 0.0000
0.0000 3.5496 0.0000
0.0000 0.0000 7.1571

---

No. 21
! CsKNa2P, relaxed, DFT PBE; values from VASP
! Total moment (μB/atom): 0.00
! Calculated formation energy (eV per atom): -0.107
! Space group: P4/mmm
&SYSTEM
  ibrav = 0, nat = 5, ntyp = 4
/
ATOMIC_SPECIES
Cs 132.91 Cs.upf
K 39.10 K.upf
Na 22.99 Na.upf
P 30.97 P.upf
ATOMIC_POSITIONS angstrom
Cs 0.0000 0.0000 0.0000
K 2.8964 2.8964 0.0000
Na 0.0000 2.8964 3.2242
Na 2.8964 0.0000 3.2242
P 2.8964 2.8964 3.2242
CELL_PARAMETERS angstrom
5.7928 0.0000 0.0000
0.0000 5.7928 0.0000
0.0000 0.0000 6.4484

---

No. 22
! Al2CoHg, relaxed, DFT PBE; values from VASP
! Total moment (μB/atom): 0.00
! Calculated formation energy (eV per atom): -0.004
! Space group: Pmm2
! Energy relative to the lowest polymorph listed for this composition (meV/atom): 206
&SYSTEM
  ibrav = 0, nat = 4, ntyp = 3
/
ATOMIC_SPECIES
Al 26.98 Al.upf
Co 58.93 Co.upf
Hg 200.59 Hg.upf
ATOMIC_POSITIONS angstrom
Al 0.0000 0.0000 0.0000
Al 1.5081 1.7994 1.5517
Co 0.0000 0.0000 2.3838
Hg 1.5081 1.7994 4.2141
CELL_PARAMETERS angstrom
3.0163 0.0000 0.0000
0.0000 3.5989 0.0000
0.0000 0.0000 5.7731

---

No. 23
! CeTl9Te6, relaxed, DFT PBE; values from VASP
! Total moment (μB/atom): 0.06
! Formation energy from raw total energies (eV/atom): -0.48
! Space group: I4/m
&SYSTEM
  ibrav = 0, nat = 16, ntyp = 3
/
ATOMIC_SPECIES
Ce 140.12 Ce.upf
Tl 204.38 Tl.upf
Te 127.60 Te.upf
ATOMIC_POSITIONS angstrom
Ce 0.0000 0.0000 0.0000
Tl 3.2027 -1.3528 2.1441
Tl 5.8638 -1.3083 4.6341
Tl 5.8194 1.3528 2.1441
Tl 3.1582 1.3083 4.6341
Tl 0.0000 0.0000 6.7782
Tl 1.3528 3.2027 2.1441
Tl -1.3083 3.1582 4.6341
Tl -1.3528 5.8194 2.1441
Tl 1.3083 5.8638 4.6341
Te 2.9490 1.3552 0.0000
Te 0.0000 0.0000 3.1929
Te 3.1559 -1.5620 6.7782
Te 1.3552 6.0731 0.0000
Te 0.0000 0.0000 10.3634
Te 1.5620 3.1559 6.7782
CELL_PARAMETERS angstrom
-4.5110 4.5110 6.7782
4.5110 -4.5110 6.7782
4.5110 4.5110 -6.7782

---

No. 24
! Dy6Te3SeS2, relaxed, DFT PBE; values from VASP
! Total moment (μB/atom): 0.00
! Formation energy from raw total energies (eV/atom): -1.62
! Space group: C2/m
&SYSTEM
  ibrav = 0, nat = 12, ntyp = 4
/
ATOMIC_SPECIES
Dy 162.50 Dy.upf
Te 127.60 Te.upf
Se 78.96 Se.upf
S 32.06 S.upf
ATOMIC_POSITIONS angstrom
Dy -0.0489 2.1445 5.4966
Dy 1.0945 0.0000 1.4120
Dy -0.0489 -2.1445 5.4966
Dy 4.8036 2.1445 1.4345
Dy 3.6602 0.0000 5.5191
Dy 4.8036 -2.1445 1.4345
Te -1.1905 0.0000 3.4655
Te 2.3773 2.0147 3.4655
Te 2.3773 -2.0147 3.4655
Se 3.5678 0.0000 0.0000
S 3.5678 4.1193 0.0000
S 3.5678 -4.1193 0.0000
CELL_PARAMETERS angstrom
3.5678 -6.1881 0.0000
3.5678 6.1881 0.0000
-2.3810 0.0000 6.9311

---

No. 25
! NaTcAs2, relaxed, DFT PBE; values from VASP
! Total moment (μB/atom): 0.00
! Calculated formation energy (eV per atom): 0.058
! Space group: I-42d
! Energy relative to the lowest polymorph listed for this composition (meV/atom): 355
&SYSTEM
  ibrav = 0, nat = 8, ntyp = 3
/
ATOMIC_SPECIES
Na 22.99 Na.upf
Tc 98.00 Tc.upf
As 74.92 As.upf
ATOMIC_POSITIONS angstrom
Na 0.0000 0.0000 0.0000
Na 0.0000 3.1965 2.8153
Tc 3.1965 0.0000 2.8153
Tc 0.0000 0.0000 5.6306
As 1.5982 -0.9917 4.2229
As 2.2048 1.5982 1.4076
As 1.5982 4.1882 -1.4076
As 0.9917 1.5982 7.0382
CELL_PARAMETERS angstrom
-3.1965 3.1965 5.6306
3.1965 -3.1965 5.6306
3.1965 3.1965 -5.6306